{"formula": "CsMnNF2", "functional": "PBE with a Hubbard U", "state": "relaxed", "crystal_system": "tetragonal", "m_tot_mub_per_atom": 0.936, "relative_energy_ev_per_atom": 1.5829, "lattice_angstrom": [[5.1413, 0.0000, 0.0000], [0.0000, 5.1413, 0.0000], [0.0000, 0.0000, 4.4685]], "species": ["Cs", "Mn", "N", "F", "F"], "frac_coords": [[0.0000, 0.0000, 0.0000], [0.5000, 0.5000, 0.5000], [0.0000, 0.0000, 0.5000], [0.0000, 0.5000, 0.0000], [0.5000, 0.0000, 0.0000]]}